No. 1
The following is a GGA-PBE calculation of a relaxed structure of KBaP2, from the Alexandria database.

CIF file:
```
data_KBaP2
_chemical_formula_sum 'K1 Ba1 P2'
_cell_length_a 6.037
_cell_length_b 6.037
_cell_length_c 7.607
_cell_angle_alpha 126.18
_cell_angle_beta 126.18
_cell_angle_gamma 41.02
_symmetry_space_group_name_H-M 'P 1'
_symmetry_Int_Tables_number 1
_symmetry_space_group_name_Hall 'P 1'
loop_
_atom_site_label
_atom_site_type_symbol
_atom_site_fract_x
_atom_site_fract_y
_atom_site_fract_z
_atom_site_occupancy
K1 K 0.000 0.000 0.000 1
Ba1 Ba 0.500 0.500 0.500 1
P1 P 0.249 0.249 0.571 1
P2 P 0.751 0.751 0.429 1
```

Computed properties:
- Offset from the most stable computed form: 149.9 meV per atom
- Spin magnetization: 0.1 μB per formula unit
- DOS(E_F): 1.338 states/eV/f.u.
- Calculated total energy: -15.82 eV for the cell shown
- Energy of formation from the pure elements: -1.98 eV per formula unit


No. 2
The following is a GGA-PBE calculation of a relaxed structure of Tm2AlGa2Rh5, from the Alexandria database.

CIF file:
```
data_Tm2AlGa2Rh5
_chemical_formula_sum 'Tm4 Al2 Ga4 Rh10'
_cell_length_a 9.785
_cell_length_b 9.785
_cell_length_c 3.448
_cell_angle_alpha 90.00
_cell_angle_beta 90.00
_cell_angle_gamma 90.00
_symmetry_space_group_name_H-M 'P 1'
_symmetry_Int_Tables_number 1
_symmetry_space_group_name_Hall 'P 1'
loop_
_atom_site_label
_atom_site_type_symbol
_atom_site_fract_x
_atom_site_fract_y
_atom_site_fract_z
_atom_site_occupancy
Tm1 Tm 0.172 0.328 0.000 1
Tm2 Tm 0.328 0.828 0.000 1
Tm3 Tm 0.672 0.172 0.000 1
Tm4 Tm 0.828 0.672 0.000 1
Al1 Al 0.000 0.000 0.000 1
Al2 Al 0.500 0.500 0.000 1
Ga1 Ga 0.127 0.627 0.000 1
Ga2 Ga 0.373 0.127 0.000 1
Ga3 Ga 0.627 0.873 0.000 1
Ga4 Ga 0.873 0.373 0.000 1
Rh1 Rh 0.000 0.500 0.500 1
Rh2 Rh 0.066 0.800 0.500 1
Rh3 Rh 0.200 0.066 0.500 1
Rh4 Rh 0.300 0.566 0.500 1
Rh5 Rh 0.434 0.300 0.500 1
Rh6 Rh 0.500 0.000 0.500 1
Rh7 Rh 0.566 0.700 0.500 1
Rh8 Rh 0.700 0.434 0.500 1
Rh9 Rh 0.800 0.934 0.500 1
Rh10 Rh 0.934 0.200 0.500 1
```

Computed properties:
- Spin magnetization: 0.0 μB per formula unit
- DOS(E_F): 5.044 states/eV/f.u.
- Calculated total energy: -128.26 eV for the cell shown
- Energy of formation from the pure elements: -8.63 eV per formula unit


No. 3
The following is a GGA-PBE calculation of a relaxed structure of RbAg3Bi, from the Alexandria database.

CIF file:
```
data_RbAg3Bi
_chemical_formula_sum 'Rb1 Ag3 Bi1'
_cell_length_a 5.646
_cell_length_b 5.646
_cell_length_c 5.646
_cell_angle_alpha 90.00
_cell_angle_beta 90.00
_cell_angle_gamma 90.00
_symmetry_space_group_name_H-M 'P 1'
_symmetry_Int_Tables_number 1
_symmetry_space_group_name_Hall 'P 1'
loop_
_atom_site_label
_atom_site_type_symbol
_atom_site_fract_x
_atom_site_fract_y
_atom_site_fract_z
_atom_site_occupancy
Rb1 Rb 0.000 0.000 0.000 1
Ag1 Ag 0.000 0.500 0.500 1
Ag2 Ag 0.500 0.000 0.500 1
Ag3 Ag 0.500 0.500 0.000 1
Bi1 Bi 0.500 0.500 0.500 1
```

Computed properties:
- Offset from the most stable computed form: 0.0 meV per atom
- Spin magnetization: 0.0 μB per formula unit
- DOS(E_F): 1.742 states/eV/f.u.
- Calculated total energy: -12.54 eV for the cell shown
- Energy of formation from the pure elements: 0.86 eV per formula unit


No. 4
The following is a GGA-PBE calculation of a relaxed structure of BeAg2Mo, from the Alexandria database.

CIF file:
```
data_BeAg2Mo
_chemical_formula_sum 'Be1 Ag2 Mo1'
_cell_length_a 4.901
_cell_length_b 4.901
_cell_length_c 4.901
_cell_angle_alpha 133.20
_cell_angle_beta 133.20
_cell_angle_gamma 68.34
_symmetry_space_group_name_H-M 'P 1'
_symmetry_Int_Tables_number 1
_symmetry_space_group_name_Hall 'P 1'
loop_
_atom_site_label
_atom_site_type_symbol
_atom_site_fract_x
_atom_site_fract_y
_atom_site_fract_z
_atom_site_occupancy
Be1 Be 0.000 0.000 0.000 1
Ag1 Ag 0.250 0.750 0.500 1
Ag2 Ag 0.750 0.250 0.500 1
Mo1 Mo 0.500 0.500 0.000 1
```

Computed properties:
- Spin magnetization: 0.8 μB per formula unit
- DOS(E_F): 3.121 states/eV/f.u.
- Calculated total energy: -17.65 eV for the cell shown
- Energy of formation from the pure elements: 2.61 eV per formula unit


No. 5
The following is a GGA-PBE calculation of a relaxed structure of TaZnW3, from the Alexandria database.

CIF file:
```
data_TaZnW3
_chemical_formula_sum 'Ta1 Zn1 W3'
_cell_length_a 4.532
_cell_length_b 4.532
_cell_length_c 4.532
_cell_angle_alpha 90.00
_cell_angle_beta 90.00
_cell_angle_gamma 90.00
_symmetry_space_group_name_H-M 'P 1'
_symmetry_Int_Tables_number 1
_symmetry_space_group_name_Hall 'P 1'
loop_
_atom_site_label
_atom_site_type_symbol
_atom_site_fract_x
_atom_site_fract_y
_atom_site_fract_z
_atom_site_occupancy
Ta1 Ta 0.000 0.000 0.000 1
Zn1 Zn 0.500 0.500 0.500 1
W1 W 0.000 0.500 0.500 1
W2 W 0.500 0.000 0.500 1
W3 W 0.500 0.500 0.000 1
```

Computed properties:
- Offset from the most stable computed form: 0.0 meV per atom
- Spin magnetization: 0.0 μB per formula unit
- DOS(E_F): 5.628 states/eV/f.u.
- Calculated total energy: -43.11 eV for the cell shown
- Energy of formation from the pure elements: 8.87 eV per formula unit


No. 6
The following is a GGA-PBE calculation of a relaxed structure of LaHgIr2, from the Alexandria database.

CIF file:
```
data_LaHgIr2
_chemical_formula_sum 'La1 Hg1 Ir2'
_cell_length_a 5.665
_cell_length_b 5.665
_cell_length_c 5.088
_cell_angle_alpha 107.82
_cell_angle_beta 107.82
_cell_angle_gamma 31.40
_symmetry_space_group_name_H-M 'P 1'
_symmetry_Int_Tables_number 1
_symmetry_space_group_name_Hall 'P 1'
loop_
_atom_site_label
_atom_site_type_symbol
_atom_site_fract_x
_atom_site_fract_y
_atom_site_fract_z
_atom_site_occupancy
La1 La 0.000 0.000 0.000 1
Hg1 Hg 0.794 0.794 0.356 1
Ir1 Ir 0.233 0.233 0.827 1
Ir2 Ir 0.542 0.542 0.521 1
```

Computed properties:
- Spin magnetization: 0.0 μB per formula unit
- DOS(E_F): 2.710 states/eV/f.u.
- Calculated total energy: -23.15 eV for the cell shown
- Energy of formation from the pure elements: -0.20 eV per formula unit


Look up the energy of formation from the pure elements of the first one. -1.98 eV per formula unit


Number 1 is which compound? KBaP2


Number 3 is which compound? RbAg3Bi


Which formula does entry 4 have? BeAg2Mo